# SrClF | Alexandria | PBE | optimized geometry
data_SrClF
_cell_length_a 4.1500
_cell_length_b 4.1500
_cell_length_c 4.3870
_cell_angle_alpha 90.00
_cell_angle_beta 90.00
_cell_angle_gamma 120.00
_symmetry_space_group_name_H-M 'P -6 m 2'
_symmetry_Int_Tables_number 187
_symmetry_space_group_name_Hall 'P -6 2'
loop_
_atom_site_label
_atom_site_fract_x
_atom_site_fract_y
_atom_site_fract_z
Sr1 0.0000 0.0000 0.0000
Cl1 0.6667 0.3333 0.5000
F1 0.3333 0.6667 0.0000
# Formation energy from raw total energies (meV per atom): -3165

=====

# SrCl3F | Alexandria | PBE | optimized geometry
data_SrCl3F
_cell_length_a 5.7560
_cell_length_b 5.7560
_cell_length_c 5.7560
_cell_angle_alpha 90.00
_cell_angle_beta 90.00
_cell_angle_gamma 90.00
_symmetry_space_group_name_H-M 'P m -3 m'
_symmetry_Int_Tables_number 221
_symmetry_space_group_name_Hall '-P 4 2 3'
loop_
_atom_site_label
_atom_site_fract_x
_atom_site_fract_y
_atom_site_fract_z
Sr1 0.0000 0.0000 0.0000
Cl1 0.0000 0.0000 0.5000
F1 0.5000 0.5000 0.5000
# Formation energy from raw total energies (meV per atom): -1007

=====

Which formula does entry 2 have?
SrCl3F

=====

What is the formation energy from raw total energies in the first record?
-3165 meV per atom